No. 1
Computed, not measured: a relaxed CuRe2Ge2 crystal at the PBE level of DFT.

Formation enthalpy at 0 K: 0.431 eV per atom
ΔE to the lowest computed polymorph: 0.119 eV per atom
Calculated volume: 15.16 A^3/atom

abc: 7.1347 7.1347 2.9776
angles: 90.00 90.00 90.00
Fractional coordinates of all 10 atoms:
Re (0.1465, 0.6465, 0.5000)
Re (0.6465, 0.8535, 0.5000)
Re (0.8535, 0.3535, 0.5000)
Re (0.3535, 0.1465, 0.5000)
Ge (0.3499, 0.8499, 0.0000)
Ge (0.8499, 0.6501, 0.0000)
Ge (0.6501, 0.1501, 0.0000)
Ge (0.1501, 0.3499, 0.0000)
Cu (0.0000, 0.0000, 0.0000)
Cu (0.5000, 0.5000, 0.0000)

=====

No. 2
Computed, not measured: a relaxed Li4Mg3In crystal at the PBE level of DFT.

Formation enthalpy at 0 K: -0.148 eV per atom
ΔE to the lowest computed polymorph: 0.000 eV per atom
Calculated volume: 19.51 A^3/atom

abc: 4.8137 6.7390 9.6230
angles: 90.00 90.00 90.00
Fractional coordinates of all 16 atoms:
Mg (0.0000, 0.0000, 0.0000)
Mg (0.0000, 0.0000, 0.5000)
Mg (0.4999, 0.0000, 0.7500)
Mg (0.5001, 0.0000, 0.2500)
Mg (0.4999, 0.5000, 0.7500)
Mg (0.5001, 0.5000, 0.2500)
In (0.0000, 0.5000, 0.0000)
In (0.0000, 0.5000, 0.5000)
Li (0.5000, 0.7413, 0.0000)
Li (0.5000, 0.7413, 0.5000)
Li (0.5000, 0.2587, 0.0000)
Li (0.5000, 0.2587, 0.5000)
Li (0.9999, 0.7412, 0.7500)
Li (0.0001, 0.7412, 0.2500)
Li (0.0001, 0.2588, 0.2500)
Li (0.9999, 0.2588, 0.7500)

=====

No. 3
Computed, not measured: a relaxed BeSbOs2 crystal at the PBE level of DFT.

ΔE to the lowest computed polymorph: 0.289 eV per atom
Calculated volume: 17.38 A^3/atom
E_form (uncorrected): 2.41 eV per formula unit

abc: 4.1526 4.1526 8.5802
angles: 76.00 76.00 90.00
Fractional coordinates of all 8 atoms:
Sb (0.0000, 0.0000, 0.0000)
Sb (0.7500, 0.2500, 0.5000)
Os (0.5373, 0.1250, 0.2500)
Os (0.2127, 0.6250, 0.2500)
Os (0.3750, 0.4627, 0.7500)
Os (0.8750, 0.7873, 0.7500)
Be (0.5000, 0.5000, 0.0000)
Be (0.2500, 0.7500, 0.5000)

=====

No. 4
Computed, not measured: a relaxed MnAsPdAu crystal at the PBE level of DFT.

Formation enthalpy at 0 K: -0.066 eV per atom
Calculated volume: 16.36 A^3/atom

abc: 4.5233 4.5233 4.5233
angles: 60.00 60.00 60.00
Last column: magnetic moment on the atom in μB.
Fractional coordinates of all 4 atoms:
As (0.0000, 0.0000, 0.0000)  -0.09
Mn (0.7500, 0.7500, 0.7500)  3.66
Au (0.5000, 0.5000, 0.5000)  0.02
Pd (0.2500, 0.2500, 0.2500)  -0.01

=====

No. 5
Computed, not measured: a relaxed UTlCuI6 crystal at the PBE level of DFT.

Calculated volume: 43.51 A^3/atom
E_form (uncorrected): -5.18 eV per formula unit

abc: 7.5845 7.5845 15.7222
angles: 90.00 90.00 120.00
Last column: magnetic moment on the atom in μB.
Fractional coordinates of all 18 atoms:
U (0.6667, 0.3333, 0.2500)  2.21
U (0.3333, 0.6667, 0.7500)  2.21
Tl (0.0000, 0.0000, 0.0000)  0.00
Tl (0.0000, 0.0000, 0.5000)  0.00
Cu (0.3333, 0.6667, 0.2500)  -0.04
Cu (0.6667, 0.3333, 0.7500)  -0.04
I (0.6323, 0.6445, 0.1413)  -0.04
I (0.0122, 0.3677, 0.1413)  -0.04
I (0.3677, 0.0122, 0.6413)  -0.04
I (0.9878, 0.6323, 0.8587)  -0.04
I (0.3555, 0.3677, 0.3587)  -0.04
I (0.0122, 0.6445, 0.3587)  -0.04
I (0.6445, 0.0122, 0.8587)  -0.04
I (0.6323, 0.9878, 0.3587)  -0.04
I (0.9878, 0.3555, 0.6413)  -0.04
I (0.3555, 0.9878, 0.1413)  -0.04
I (0.6445, 0.6323, 0.6413)  -0.04
I (0.3677, 0.3555, 0.8587)  -0.04

=====

No. 6
Computed, not measured: a relaxed BePW crystal at the PBE level of DFT.

Formation enthalpy at 0 K: 0.252 eV per atom
ΔE to the lowest computed polymorph: 0.448 eV per atom
Calculated volume: 13.05 A^3/atom

abc: 4.1376 4.1376 2.6405
angles: 90.00 90.00 120.00
Fractional coordinates of all 3 atoms:
P (0.3333, 0.6667, 0.3633)
W (0.6667, 0.3333, 0.5343)
Be (0.0000, 0.0000, 0.1024)

=====

| no. | total magnetic moment (μB per atom) |
| --- | --- |
| 1 | 0.0000 |
| 2 | 0.0000 |
| 3 | 0.0000 |
| 4 | 0.9297 |
| 5 | 0.2222 |
| 6 | 0.0000 |